Cs2TlCl5 | meta-GGA SCAN | PBEsol geometry

Summary:
ΔE_f (raw) = -1.57 eV/atom

```
data_Cs2TlCl5
_chemical_formula_sum 'Cs8 Tl4 Cl20'
_cell_length_a 9.300
_cell_length_b 7.397
_cell_length_c 14.911
_cell_angle_alpha 90.00
_cell_angle_beta 90.00
_cell_angle_gamma 90.00
_symmetry_space_group_name_H-M 'P n m a'
_symmetry_Int_Tables_number 62
_symmetry_space_group_name_Hall '-P 2ac 2n'
loop_
_atom_site_label
_atom_site_type_symbol
_atom_site_fract_x
_atom_site_fract_y
_atom_site_fract_z
_atom_site_occupancy
Cs1 Cs 0.032 0.250 0.202 1
Cs2 Cs 0.176 0.750 0.421 1
Tl1 Tl 0.188 0.750 0.070 1
Cl1 Cl 0.000 0.000 0.000 1
Cl2 Cl 0.024 0.750 0.203 1
Cl3 Cl 0.155 0.510 0.624 1
Cl4 Cl 0.201 0.250 0.414 1
```

CsTmCl3 | meta-GGA SCAN | PBEsol geometry

Summary:
ΔE_f (raw) = -2.13 eV/atom

```
data_CsTmCl3
_chemical_formula_sum 'Cs1 Tm1 Cl3'
_cell_length_a 5.192
_cell_length_b 5.192
_cell_length_c 5.192
_cell_angle_alpha 90.00
_cell_angle_beta 90.00
_cell_angle_gamma 90.00
_symmetry_space_group_name_H-M 'P m -3 m'
_symmetry_Int_Tables_number 221
_symmetry_space_group_name_Hall '-P 4 2 3'
loop_
_atom_site_label
_atom_site_type_symbol
_atom_site_fract_x
_atom_site_fract_y
_atom_site_fract_z
_atom_site_occupancy
Cs1 Cs 0.000 0.000 0.000 1
Tm1 Tm 0.500 0.500 0.500 1
Cl1 Cl 0.000 0.500 0.500 1
```

CsW3Cl7 | meta-GGA SCAN | PBEsol geometry

Summary:
ΔE_f (raw) = -1.08 eV/atom

```
data_CsW3Cl7
_chemical_formula_sum 'Cs4 W12 Cl28'
_cell_length_a 9.7391
_cell_length_b 9.7391
_cell_length_c 14.5622
_cell_angle_alpha 90.00
_cell_angle_beta 90.00
_cell_angle_gamma 120.00
_symmetry_space_group_name_H-M 'P 3 1 c'
_symmetry_Int_Tables_number 159
_symmetry_space_group_name_Hall 'P 3 -2c'
loop_
_atom_site_label
_atom_site_type_symbol
_atom_site_fract_x
_atom_site_fract_y
_atom_site_fract_z
_atom_site_occupancy
Cs1 Cs 0.0000 0.0000 0.0000 1
Cs2 Cs 0.3333 0.6667 0.2563 1
W1 W 0.1770 0.6640 0.8249 1
W2 W 0.1780 0.5118 0.6790 1
Cl1 Cl 0.0389 0.3463 0.0906 1
Cl2 Cl 0.0409 0.6702 0.6806 1
Cl3 Cl 0.0411 0.6903 0.4134 1
Cl4 Cl 0.0430 0.3686 0.8233 1
Cl5 Cl 0.3333 0.6667 0.5449 1
Cl6 Cl 0.3333 0.6667 0.9592 1
```

| no. | D(E_F) (states/eV per atom) |
| --- | --- |
| 1 | 0.000 |
| 2 | 0.321 |
| 3 | 0.000 |